No. 1
## TaCrCl (GGA-PBEsol)

Data for an optimized crystal structure of TaCrCl.

```
TaCrCl
1.0
2.996 0.000 0.000
-1.498 2.595 0.000
0.000 0.000 6.240
Ta Cr Cl
1 1 1
direct
0.000 0.000 0.000
0.667 0.333 0.332
0.333 0.667 0.684
```

The calculation puts the raw formation energy at 0.202 eV/atom. The magnetic moment is 3.278 μB/cell. Its energy above the most stable polymorph in this dataset is 0.00 kcal/mol of atoms.

No. 2
## Ag3IBr (GGA-PBEsol)

Data for an optimized crystal structure of Ag3IBr.

```
Ag3IBr
1.0
5.166 0.000 0.000
0.000 5.166 0.000
0.000 0.000 5.166
Ag I Br
3 1 1
direct
0.000 0.000 0.500
0.000 0.500 0.000
0.500 0.000 0.000
0.500 0.500 0.500
0.000 0.000 0.000
```

The calculation puts the raw formation energy at 0.420 eV/atom. The magnetic moment is 0.000 μB/cell.

No. 3
## CrINF2 (GGA-PBEsol)

Data for an optimized crystal structure of CrINF2.

```
CrINF2
1.0
3.806 0.000 0.000
0.000 3.806 0.000
0.000 0.000 4.481
Cr I N F
1 1 1 2
direct
0.000 0.000 0.000
0.500 0.500 0.500
0.000 0.000 0.500
0.000 0.500 0.000
0.500 0.000 0.000
```

The calculation puts the raw formation energy at -0.675 eV/atom. The magnetic moment is 2.799 μB/cell.

No. 4
## Pb2Au (GGA-PBEsol)

Data for an optimized crystal structure of Pb2Au.

```
Pb2Au
1.0
3.839 0.000 0.000
-1.919 3.325 0.000
0.000 0.000 6.246
Pb Au
2 1
direct
0.333 0.667 0.292
0.667 0.333 0.708
0.000 0.000 0.000
```

The calculation puts the formation energy at -0.0001 eV/atom. The magnetic moment is 0.000 μB/cell.

No. 5
## TmCoSi2 (GGA-PBEsol)

Data for an optimized crystal structure of TmCoSi2.

```
TmCoSi2
1.0
1.959 -8.076 0.000
1.959 8.076 0.000
0.000 0.000 3.892
Tm Co Si
2 2 4
direct
0.109 0.891 0.750
0.891 0.109 0.250
0.323 0.677 0.750
0.677 0.323 0.250
0.250 0.750 0.250
0.458 0.542 0.750
0.542 0.458 0.250
0.750 0.250 0.750
```

The calculation puts the raw formation energy at -0.855 eV/atom. The magnetic moment is 0.000 μB/cell.

No. 6
## Rb3CaS (GGA-PBEsol)

Data for an optimized crystal structure of Rb3CaS.

```
Rb3CaS
1.0
6.447 0.000 0.000
0.000 6.447 0.000
0.000 0.000 6.447
Rb Ca S
3 1 1
direct
0.000 0.000 0.500
0.000 0.500 0.000
0.500 0.000 0.000
0.500 0.500 0.500
0.000 0.000 0.000
```

The calculation puts the raw formation energy at -0.308 eV/atom. The magnetic moment is 0.002 μB/cell.

No. 7
## KZrAg2 (GGA-PBEsol)

Data for an optimized crystal structure of KZrAg2.

```
KZrAg2
1.0
-1.433 2.684 5.819
1.433 -2.684 5.819
1.433 2.684 -5.819
K Zr Ag
1 1 2
direct
0.000 0.000 0.000
0.299 0.799 0.500
0.526 0.526 0.000
0.735 0.235 0.500
```

The calculation puts the formation energy at 0.3544 eV/atom. The magnetic moment is 0.000 μB/cell. Its energy above the most stable polymorph in this dataset is 4.88 kcal/mol of atoms.

No. 8
## CeAs2 (GGA-PBEsol)

Data for an optimized crystal structure of CeAs2.

```
CeAs2
1.0
6.916 0.000 0.000
0.000 3.929 0.000
0.000 0.000 9.672
Ce As
4 8
direct
0.194 0.250 0.144
0.306 0.750 0.644
0.694 0.250 0.356
0.806 0.750 0.856
0.109 0.250 0.451
0.119 0.250 0.828
0.381 0.750 0.328
0.391 0.750 0.951
0.609 0.250 0.049
0.619 0.250 0.672
0.881 0.750 0.172
0.891 0.750 0.549
```

The calculation puts the formation energy at -0.9846 eV/atom. The magnetic moment is 0.411 μB/cell.

No. 9
## Zr3W (GGA-PBEsol)

Data for an optimized crystal structure of Zr3W.

```
Zr3W
1.0
2.916 0.000 0.000
-1.458 2.525 0.000
0.000 0.000 10.861
Zr W
3 1
direct
0.000 0.000 0.000
0.667 0.333 0.263
0.667 0.333 0.737
0.000 0.000 0.500
```

The calculation puts the formation energy at 0.3348 eV/atom. The magnetic moment is 0.000 μB/cell. Its energy above the most stable polymorph in this dataset is 3.89 kcal/mol of atoms.

No. 10
## YAg4Hg (GGA-PBEsol)

Data for an optimized crystal structure of YAg4Hg.

```
YAg4Hg
1.0
0.000 3.855 3.855
3.855 0.000 3.855
3.855 3.855 0.000
Y Ag Hg
1 4 1
direct
0.000 0.000 0.000
0.375 0.375 0.375
0.375 0.375 0.874
0.375 0.874 0.375
0.874 0.375 0.375
0.750 0.750 0.750
```

The calculation puts the formation energy at -0.2369 eV/atom. The magnetic moment is 0.000 μB/cell.

No. 11
## EuCuSeO (GGA-PBEsol)

Data for an optimized crystal structure of EuCuSeO.

```
EuCuSeO
1.0
3.935 0.000 0.000
0.000 3.935 0.000
0.000 0.000 8.711
Eu Cu Se O
2 2 2 2
direct
0.250 0.250 0.131
0.750 0.750 0.869
0.250 0.750 0.500
0.750 0.250 0.500
0.250 0.250 0.669
0.750 0.750 0.331
0.250 0.750 0.000
0.750 0.250 0.000
```

The calculation puts the raw formation energy at -1.689 eV/atom. The magnetic moment is 12.308 μB/cell.

No. 12
## B2Pb2O5 (GGA-PBEsol)

Data for an optimized crystal structure of B2Pb2O5.

```
B2Pb2O5
1.0
6.989 0.000 0.000
2.013 6.920 0.000
1.841 1.422 7.460
B Pb O
6 6 15
direct
0.000 0.000 0.000
0.006 0.992 0.325
0.518 0.478 0.641
0.665 0.148 0.541
0.678 0.181 0.852
0.966 0.693 0.237
0.042 0.786 0.699
0.144 0.301 0.510
0.227 0.326 0.015
0.475 0.835 0.842
0.496 0.924 0.324
0.672 0.398 0.169
0.092 0.044 0.135
0.140 0.006 0.439
0.147 0.984 0.833
0.380 0.271 0.250
0.406 0.667 0.612
0.510 0.090 0.947
0.516 0.030 0.574
0.557 0.362 0.513
0.589 0.398 0.801
0.781 0.102 0.686
0.801 0.123 0.365
0.822 0.162 0.969
0.946 0.805 0.069
0.963 0.498 0.276
0.990 0.783 0.367
```

The calculation puts the raw formation energy at -1.917 eV/atom. The magnetic moment is 0.000 μB/cell.

no.,DOS(E_F) (states/eV/cell)
1,2.2
2,1.7
3,2.0
4,1.3
5,4.1
6,3.6
7,2.7
8,7.5
9,5.4
10,2.5
11,13.6
12,0.0